Record 1
DFT (GGA-PBE) results for Ag2Pt2Au after structural relaxation.

Unit cell a=3.750 b=3.750 c=7.180 alpha=74.86 beta=74.86 gamma=90.00
Element x y z (fractional)
Au1 0.000 0.000 0.000
Ag1 0.750 0.250 0.500
Ag2 0.250 0.750 0.500
Pt1 0.403 0.403 0.193
Pt2 0.597 0.597 0.807

Computed properties:
The value obtained for the formation energy is 40.5 kJ per mole of atoms. The space group is I4/mmm. The calculation puts the distance to the lowest polymorph of the same formula at 195 meV per atom. The uncorrected energy is -3.792 eV/atom.

---

Record 2
DFT (GGA-PBE) results for AgPtAu2 after structural relaxation.

Unit cell a=9.774 b=9.774 c=9.774 alpha=16.90 beta=16.90 gamma=16.90
Element x y z (fractional)
Au1 0.001 0.001 0.001
Au2 0.248 0.248 0.248
Ag1 0.752 0.752 0.752
Pt1 0.499 0.499 0.499

Computed properties:
The value obtained for the formation energy is -0.1 kJ per mole of atoms. The space group is R3m. The calculation puts the distance to the lowest polymorph of the same formula at 16 meV per atom. The uncorrected energy is -3.862 eV/atom.

---

Record 3
DFT (GGA-PBE) results for Ag2Pt2Au5 after structural relaxation.

Unit cell a=5.160 b=9.608 c=8.702 alpha=123.51 beta=107.25 gamma=90.00
Element x y z (fractional)
Ag1 0.000 0.030 0.000
Ag2 0.500 0.530 0.000
Ag3 0.331 0.339 0.500
Ag4 0.669 0.839 0.500
Pt1 0.112 0.654 0.197
Pt2 0.888 0.456 0.803
Pt3 0.586 0.154 0.197
Pt4 0.414 0.956 0.803
Au1 0.224 0.728 0.882
Au2 0.776 0.846 0.118
Au3 0.158 0.228 0.882
Au4 0.842 0.346 0.118
Au5 0.343 0.969 0.296
Au6 0.657 0.672 0.704
Au7 0.454 0.469 0.296
Au8 0.546 0.172 0.704
Au9 0.071 0.643 0.500
Au10 0.929 0.143 0.500

Computed properties:
The value obtained for the formation energy is 12.0 kJ per mole of atoms. The space group is Ima2. The calculation puts the distance to the lowest polymorph of the same formula at 138 meV per atom. The uncorrected energy is -3.672 eV/atom.

---

Record 4
DFT (GGA-PBE) results for Ag2Pt2Au5 after structural relaxation.

Unit cell a=5.030 b=7.677 c=7.691 alpha=141.87 beta=108.88 gamma=90.14
Element x y z (fractional)
Ag1 0.224 0.445 0.114
Ag2 0.776 0.555 0.886
Pt1 0.331 0.667 0.668
Pt2 0.669 0.333 0.332
Au1 0.450 0.893 0.225
Au2 0.550 0.107 0.775
Au3 0.112 0.227 0.560
Au4 0.888 0.773 0.440
Au5 0.000 0.000 0.000

Computed properties:
The value obtained for the formation energy is -1.3 kJ per mole of atoms. The space group is P-1. The calculation puts the distance to the lowest polymorph of the same formula at 0 meV per atom. The uncorrected energy is -3.810 eV/atom.

---

Record 5
DFT (GGA-PBE) results for Ag3PtAu2 after structural relaxation.

Unit cell a=5.652 b=5.666 c=8.064 alpha=110.57 beta=110.51 gamma=90.00
Element x y z (fractional)
Ag1 0.750 0.500 0.000
Ag2 0.250 0.500 0.000
Ag3 0.656 0.905 0.312
Ag4 0.156 0.408 0.312
Ag5 0.844 0.592 0.688
Ag6 0.344 0.095 0.688
Pt1 0.250 0.000 0.000
Pt2 0.750 0.000 0.000
Au1 0.353 0.610 0.706
Au2 0.647 0.390 0.294
Au3 0.147 0.903 0.294
Au4 0.853 0.097 0.706

Computed properties:
The value obtained for the formation energy is 9.3 kJ per mole of atoms. The space group is Ibam. The calculation puts the distance to the lowest polymorph of the same formula at 0 meV per atom. The uncorrected energy is -3.428 eV/atom.

---

Record 6
DFT (GGA-PBE) results for Ag3PtAu after structural relaxation.

Unit cell a=5.078 b=5.078 c=5.078 alpha=90.00 beta=90.00 gamma=90.00
Element x y z (fractional)
Au1 0.500 0.500 0.500
Ag1 0.000 0.500 0.000
Ag2 0.000 0.000 0.500
Ag3 0.500 0.000 0.000
Pt1 0.000 0.000 0.000

Computed properties:
The value obtained for the formation energy is 84.6 kJ per mole of atoms. The space group is Pm-3m. The calculation puts the distance to the lowest polymorph of the same formula at 712 meV per atom. The uncorrected energy is -2.697 eV/atom.

---

Record 7
DFT (GGA-PBE) results for Ag5Pt2Au4 after structural relaxation.

Unit cell a=4.344 b=5.702 c=9.901 alpha=106.73 beta=102.67 gamma=90.00
Element x y z (fractional)
Ag1 0.151 0.402 0.301
Ag2 0.849 0.598 0.699
Ag3 0.151 0.900 0.301
Ag4 0.500 0.000 0.000
Ag5 0.849 0.100 0.699
Pt1 0.427 0.427 0.854
Pt2 0.573 0.573 0.146
Au1 0.720 0.720 0.441
Au2 0.000 0.264 0.000
Au3 0.280 0.280 0.559
Au4 0.000 0.736 0.000

Computed properties:
The value obtained for the formation energy is 22.7 kJ per mole of atoms. The space group is Immm. The calculation puts the distance to the lowest polymorph of the same formula at 206 meV per atom. The uncorrected energy is -3.351 eV/atom.

---

Record 8
DFT (GGA-PBE) results for Ag4PtAu3 after structural relaxation.

Unit cell a=2.877 b=5.042 c=12.381 alpha=127.80 beta=96.67 gamma=90.00
Element x y z (fractional)
Ag1 0.624 0.041 0.249
Ag2 0.376 0.959 0.751
Ag3 0.877 0.468 0.755
Ag4 0.123 0.532 0.245
Pt1 0.500 0.000 0.000
Au1 0.000 0.500 0.000
Au2 0.250 0.248 0.499
Au3 0.750 0.752 0.501

Computed properties:
The value obtained for the formation energy is -1.5 kJ per mole of atoms. The space group is C2/m. The calculation puts the distance to the lowest polymorph of the same formula at 0 meV per atom. The uncorrected energy is -3.425 eV/atom.

---

Record 9
DFT (GGA-PBE) results for Ag4Pt5Au2 after structural relaxation.

Unit cell a=2.770 b=7.847 c=14.012 alpha=137.53 beta=95.67 gamma=90.00
Element x y z (fractional)
Ag1 0.122 0.205 0.245
Ag2 0.003 0.329 0.005
Ag3 0.878 0.795 0.755
Ag4 0.997 0.671 0.995
Pt1 0.868 0.138 0.737
Pt2 0.132 0.862 0.263
Pt3 0.753 0.657 0.506
Pt4 0.500 0.000 0.000
Pt5 0.247 0.343 0.494
Au1 0.636 0.566 0.271
Au2 0.364 0.434 0.729

Computed properties:
The value obtained for the formation energy is 22.1 kJ per mole of atoms. The space group is C2/m. The uncorrected energy is -4.149 eV/atom.

---

Record 10
DFT (GGA-PBE) results for Ag5PtAu4 after structural relaxation.

Unit cell a=2.910 b=2.910 c=20.820 alpha=90.00 beta=90.00 gamma=90.00
Element x y z (fractional)
Ag1 0.500 0.500 0.096
Ag2 0.500 0.500 0.298
Ag3 0.500 0.500 0.500
Ag4 0.500 0.500 0.702
Ag5 0.500 0.500 0.904
Pt1 0.000 0.000 0.000
Au1 0.000 0.000 0.197
Au2 0.000 0.000 0.399
Au3 0.000 0.000 0.601
Au4 0.000 0.000 0.803

Computed properties:
The value obtained for the formation energy is -3.2 kJ per mole of atoms. The space group is P4/mmm. The calculation puts the distance to the lowest polymorph of the same formula at 0 meV per atom. The uncorrected energy is -3.374 eV/atom.

---

Record 11
DFT (GGA-PBE) results for Ag4PtAu5 after structural relaxation.

Unit cell a=2.917 b=2.917 c=20.758 alpha=90.00 beta=90.00 gamma=90.00
Element x y z (fractional)
Ag1 0.000 0.000 0.197
Ag2 0.000 0.000 0.399
Ag3 0.000 0.000 0.601
Ag4 0.000 0.000 0.803
Pt1 0.000 0.000 0.000
Au1 0.500 0.500 0.097
Au2 0.500 0.500 0.298
Au3 0.500 0.500 0.500
Au4 0.500 0.500 0.702
Au5 0.500 0.500 0.903

Computed properties:
The value obtained for the formation energy is -2.7 kJ per mole of atoms. The space group is P4/mmm. The calculation puts the distance to the lowest polymorph of the same formula at 0 meV per atom. The uncorrected energy is -3.411 eV/atom.

---

Record 12
DFT (GGA-PBE) results for AgPt4Au after structural relaxation.

Unit cell a=5.291 b=5.291 c=5.291 alpha=60.00 beta=60.00 gamma=60.00
Element x y z (fractional)
Ag1 0.750 0.750 0.750
Pt1 0.875 0.375 0.375
Pt2 0.375 0.375 0.875
Pt3 0.375 0.875 0.375
Pt4 0.375 0.375 0.375
Au1 0.000 0.000 0.000

Computed properties:
The value obtained for the formation energy is 8.0 kJ per mole of atoms. The space group is F-43m. The uncorrected energy is -4.965 eV/atom.

---

Volume values (in A^3/atom) by entry order: 18.8; 17.2; 18.7; 17.3; 18.7; 26.2; 20.8; 17.5; 18.5; 17.6; 17.7; 17.5.